(1)
Computed, not measured: an optimized crystal structure of ErTlHgTe3 at the PBE level of DFT.

Calculated values
- Distance to the lowest polymorph of the same formula: 92 meV/atom
- Crystal system: orthorhombic
- E: -3.387 eV per atom

abc: 8.897 4.674 18.391
angles: 90.00 90.00 90.00
Fractional coordinates of all 24 atoms:
Hg  0.070  0.250  0.660
Tl  0.438  0.750  0.696
Hg  0.430  0.750  0.160
Te  0.876  0.250  0.943
Te  0.504  0.250  0.072
Te  0.124  0.750  0.057
Te  0.271  0.750  0.294
Er  0.228  0.250  0.961
Er  0.772  0.750  0.039
Te  0.996  0.750  0.572
Te  0.004  0.250  0.428
Te  0.729  0.250  0.706
Te  0.624  0.750  0.443
Tl  0.062  0.250  0.196
Hg  0.930  0.750  0.340
Te  0.771  0.750  0.206
Hg  0.570  0.250  0.840
Te  0.376  0.250  0.557
Tl  0.562  0.250  0.304
Er  0.728  0.250  0.539
Te  0.496  0.750  0.928
Tl  0.938  0.750  0.804
Te  0.229  0.250  0.794
Er  0.272  0.750  0.461


(2)
Computed, not measured: an optimized crystal structure of ErTlHgTe3 at the PBE level of DFT.

Calculated values
- Distance to the lowest polymorph of the same formula: 0 meV/atom
- Crystal system: orthorhombic
- E: -3.479 eV per atom

abc: 8.038 8.038 11.571
angles: 90.00 90.00 148.19
Fractional coordinates of all 12 atoms:
Te  0.137  0.863  0.956
Te  0.137  0.863  0.544
Tl  0.740  0.260  0.750
Te  0.418  0.582  0.750
Hg  0.960  0.040  0.250
Te  0.863  0.137  0.044
Te  0.582  0.418  0.250
Tl  0.260  0.740  0.250
Hg  0.040  0.960  0.750
Er  0.500  0.500  0.000
Te  0.863  0.137  0.456
Er  0.500  0.500  0.500


(3)
Computed, not measured: an optimized crystal structure of ErTlHgTe3 at the PBE level of DFT.

Calculated values
- Distance to the lowest polymorph of the same formula: 10 meV/atom
- Crystal system: orthorhombic
- E: -3.469 eV per atom

abc: 15.213 4.438 11.828
angles: 90.00 90.00 90.00
Fractional coordinates of all 24 atoms:
Te  0.600  0.750  0.579
Tl  0.265  0.250  0.948
Te  0.900  0.250  0.079
Te  0.400  0.250  0.421
Te  0.900  0.750  0.373
Er  0.525  0.750  0.344
Te  0.600  0.250  0.873
Te  0.156  0.250  0.230
Te  0.344  0.750  0.730
Hg  0.479  0.750  0.894
Tl  0.235  0.750  0.448
Te  0.656  0.250  0.270
Hg  0.521  0.250  0.106
Er  0.975  0.250  0.844
Te  0.400  0.750  0.127
Tl  0.765  0.250  0.552
Er  0.025  0.750  0.156
Te  0.100  0.750  0.921
Hg  0.979  0.750  0.606
Tl  0.735  0.750  0.052
Te  0.100  0.250  0.627
Er  0.475  0.250  0.656
Te  0.844  0.750  0.770
Hg  0.021  0.250  0.394


(4)
Computed, not measured: an optimized crystal structure of ErThHg at the PBE level of DFT.

Calculated values
- Distance to the lowest polymorph of the same formula: 0 meV/atom
- Crystal system: cubic
- Energy of formation from the pure elements: 28.6 kJ/mol of formula units
- E: -3.993 eV per atom

abc: 5.145 5.145 5.145
angles: 60.00 60.00 60.00
Site moments in Bohr magnetons follow the coordinates.
Fractional coordinates of all 3 atoms:
Th  0.750  0.750  0.750  0.25
Hg  0.000  0.000  0.000  0.01
Er  0.250  0.250  0.250  0.31


(5)
Computed, not measured: an optimized crystal structure of Er2Tm3Hg3 at the PBE level of DFT.

Calculated values
- Distance to the lowest polymorph of the same formula: 0 meV/atom
- Crystal system: monoclinic
- Energy of formation from the pure elements: -209.3 kJ/mol of formula units
- E: -3.202 eV per atom

abc: 6.535 5.162 6.548
angles: 90.00 110.03 90.00
Fractional coordinates of all 8 atoms:
Hg  0.589  0.000  0.897
Er  0.685  0.000  0.392
Tm  0.102  0.000  0.857
Hg  0.846  0.500  0.625
Er  0.338  0.500  0.626
Hg  0.182  0.000  0.345
Tm  0.871  0.500  0.105
Tm  0.388  0.500  0.153


(6)
Computed, not measured: an optimized crystal structure of ErTmHg2 at the PBE level of DFT.

Calculated values
- Distance to the lowest polymorph of the same formula: 209 meV/atom
- Crystal system: orthorhombic
- Energy of formation from the pure elements: -103.5 kJ/mol of formula units
- E: -2.676 eV per atom

abc: 5.143 6.687 6.687
angles: 60.42 90.00 90.00
Fractional coordinates of all 8 atoms:
Hg  0.500  0.166  0.166
Hg  0.000  0.825  0.825
Hg  0.500  0.671  0.178
Er  0.500  0.687  0.687
Hg  0.500  0.178  0.671
Er  0.000  0.328  0.328
Tm  0.000  0.835  0.310
Tm  0.000  0.310  0.835


(7)
Computed, not measured: an optimized crystal structure of ErTmHg4 at the PBE level of DFT.

Calculated values
- Crystal system: monoclinic
- Energy of formation from the pure elements: -205.0 kJ/mol of formula units
- E: -2.059 eV per atom

abc: 3.366 4.915 8.522
angles: 90.00 90.01 90.00
Fractional coordinates of all 6 atoms:
Hg  0.505  0.500  0.833
Hg  0.495  0.500  0.167
Er  0.000  0.000  0.000
Hg  0.495  0.000  0.666
Hg  0.505  0.000  0.334
Tm  0.000  0.500  0.500


(8)
Computed, not measured: an optimized crystal structure of Er2Tm3Hg3 at the PBE level of DFT.

Calculated values
- Distance to the lowest polymorph of the same formula: 132 meV/atom
- Crystal system: hexagonal
- Energy of formation from the pure elements: -107.5 kJ/mol of formula units
- E: -3.070 eV per atom

abc: 6.875 6.875 5.155
angles: 90.00 90.00 120.00
Fractional coordinates of all 8 atoms:
Tm  0.339  0.169  0.000
Hg  0.995  0.497  0.500
Tm  0.831  0.661  0.000
Hg  0.503  0.497  0.500
Tm  0.831  0.169  0.000
Er  0.333  0.667  0.000
Hg  0.503  0.005  0.500
Er  0.000  0.000  0.500


(9)
Computed, not measured: an optimized crystal structure of ErTmHg2 at the PBE level of DFT.

Calculated values
- Distance to the lowest polymorph of the same formula: 0 meV/atom
- Crystal system: orthorhombic
- Energy of formation from the pure elements: -184.2 kJ/mol of formula units
- E: -2.886 eV per atom

abc: 6.346 6.346 5.225
angles: 90.00 90.00 111.11
Fractional coordinates of all 8 atoms:
Er  0.873  0.127  0.750
Hg  0.627  0.872  0.250
Hg  0.373  0.128  0.750
Hg  0.128  0.373  0.250
Hg  0.872  0.627  0.750
Tm  0.374  0.626  0.750
Er  0.127  0.873  0.250
Tm  0.626  0.374  0.250


(10)
Computed, not measured: an optimized crystal structure of Er6TmHg at the PBE level of DFT.

Calculated values
- Crystal system: hexagonal
- Energy of formation from the pure elements: -29.7 kJ/mol of formula units
- E: -4.058 eV per atom

abc: 6.972 6.972 5.477
angles: 90.00 90.00 120.00
Site moments in Bohr magnetons follow the coordinates.
Fractional coordinates of all 8 atoms:
Er  0.658  0.829  0.000  0.09
Er  0.339  0.169  0.500  0.11
Tm  0.333  0.667  0.500  0.10
Hg  0.667  0.333  0.000  0.01
Er  0.831  0.661  0.500  0.14
Er  0.831  0.169  0.500  0.17
Er  0.171  0.342  0.000  0.09
Er  0.171  0.829  0.000  0.09


(11)
Computed, not measured: an optimized crystal structure of ErTmHg2 at the PBE level of DFT.

Calculated values
- Distance to the lowest polymorph of the same formula: 197 meV/atom
- Crystal system: orthorhombic
- Energy of formation from the pure elements: -108.2 kJ/mol of formula units
- E: -2.689 eV per atom

abc: 5.392 6.740 6.740
angles: 124.23 90.00 90.00
Fractional coordinates of all 8 atoms:
Tm  0.750  0.703  0.864
Hg  0.250  0.354  0.186
Er  0.750  0.626  0.311
Hg  0.250  0.803  0.151
Tm  0.250  0.864  0.703
Er  0.250  0.311  0.626
Hg  0.750  0.151  0.803
Hg  0.750  0.186  0.354


(12)
Computed, not measured: an optimized crystal structure of Er2Tm3Hg3 at the PBE level of DFT.

Calculated values
- Distance to the lowest polymorph of the same formula: 97 meV/atom
- Crystal system: orthorhombic
- Energy of formation from the pure elements: -134.1 kJ/mol of formula units
- E: -3.104 eV per atom

abc: 5.516 6.453 6.453
angles: 66.62 90.00 90.00
Fractional coordinates of all 8 atoms:
Er  0.500  0.697  0.697
Hg  0.000  0.830  0.830
Hg  0.500  0.211  0.637
Tm  0.000  0.322  0.830
Hg  0.500  0.637  0.211
Tm  0.000  0.830  0.322
Tm  0.500  0.144  0.144
Er  0.000  0.329  0.329


(13)
Computed, not measured: an optimized crystal structure of ErTmHg at the PBE level of DFT.

Calculated values
- Distance to the lowest polymorph of the same formula: 0 meV/atom
- Crystal system: cubic
- Energy of formation from the pure elements: -36.1 kJ/mol of formula units
- E: -3.237 eV per atom

abc: 5.034 5.034 5.034
angles: 60.00 60.00 60.00
Fractional coordinates of all 3 atoms:
Hg  0.000  0.000  0.000
Er  0.250  0.250  0.250
Tm  0.750  0.750  0.750


(14)
Computed, not measured: an optimized crystal structure of ErTm4Hg5 at the PBE level of DFT.

Calculated values
- Crystal system: tetragonal
- Energy of formation from the pure elements: -462.5 kJ/mol of formula units
- E: -2.874 eV per atom

abc: 3.663 3.663 18.348
angles: 90.00 90.00 90.00
Fractional coordinates of all 10 atoms:
Hg  0.500  0.500  0.500
Hg  0.500  0.500  0.300
Tm  0.000  0.000  0.600
Hg  0.500  0.500  0.101
Hg  0.500  0.500  0.700
Tm  0.000  0.000  0.201
Tm  0.000  0.000  0.400
Er  0.000  0.000  0.000
Hg  0.500  0.500  0.899
Tm  0.000  0.000  0.799


(15)
Computed, not measured: an optimized crystal structure of ErUHg at the PBE level of DFT.

Calculated values
- Crystal system: cubic
- Energy of formation from the pure elements: 271.3 kJ/mol of formula units
- E: -4.449 eV per atom

abc: 5.007 5.007 5.007
angles: 60.00 60.00 60.00
Fractional coordinates of all 3 atoms:
U  0.000  0.000  0.000
Hg  0.750  0.750  0.750
Er  0.250  0.250  0.250


(16)
Computed, not measured: an optimized crystal structure of YErHg2 at the PBE level of DFT.

Calculated values
- Distance to the lowest polymorph of the same formula: 0 meV/atom
- Crystal system: orthorhombic
- Energy of formation from the pure elements: -190.6 kJ/mol of formula units
- E: -3.400 eV per atom

abc: 6.399 6.399 5.259
angles: 90.00 90.00 111.21
Fractional coordinates of all 8 atoms:
Hg  0.123  0.371  0.250
Hg  0.629  0.877  0.250
Er  0.875  0.125  0.750
Y  0.627  0.373  0.250
Hg  0.371  0.123  0.750
Y  0.373  0.627  0.750
Er  0.125  0.875  0.250
Hg  0.877  0.629  0.750


(17)
Computed, not measured: an optimized crystal structure of Y3Er2Hg3 at the PBE level of DFT.

Calculated values
- Distance to the lowest polymorph of the same formula: 45 meV/atom
- Crystal system: hexagonal
- Energy of formation from the pure elements: -104.8 kJ/mol of formula units
- E: -3.813 eV per atom

abc: 6.948 6.948 5.181
angles: 90.00 90.00 120.00
Site moments in Bohr magnetons follow the coordinates.
Fractional coordinates of all 8 atoms:
Hg  0.498  0.502  0.000  0.02
Y  0.661  0.830  0.500  0.15
Y  0.170  0.830  0.500  0.13
Er  0.000  0.000  0.000  0.22
Hg  0.003  0.502  0.000  0.01
Hg  0.498  0.997  0.000  0.01
Er  0.667  0.333  0.500  0.16
Y  0.170  0.339  0.500  0.14


(18)
Computed, not measured: an optimized crystal structure of YErHg2 at the PBE level of DFT.

Calculated values
- Distance to the lowest polymorph of the same formula: 209 meV/atom
- Crystal system: orthorhombic
- Energy of formation from the pure elements: -109.8 kJ/mol of formula units
- E: -3.190 eV per atom

abc: 5.443 6.794 6.794
angles: 124.52 90.00 90.00
Fractional coordinates of all 8 atoms:
Y  0.250  0.294  0.130
Y  0.750  0.130  0.294
Hg  0.750  0.643  0.808
Hg  0.750  0.204  0.847
Hg  0.250  0.847  0.204
Er  0.750  0.691  0.383
Er  0.250  0.383  0.691
Hg  0.250  0.808  0.643


(19)
Computed, not measured: an optimized crystal structure of YEr4Hg5 at the PBE level of DFT.

Calculated values
- Crystal system: tetragonal
- Energy of formation from the pure elements: -471.4 kJ/mol of formula units
- E: -3.109 eV per atom

abc: 3.683 3.683 18.458
angles: 90.00 90.00 90.00
Fractional coordinates of all 10 atoms:
Hg  0.500  0.500  0.897
Y  0.000  0.000  0.000
Hg  0.500  0.500  0.301
Hg  0.500  0.500  0.699
Er  0.000  0.000  0.799
Er  0.000  0.000  0.400
Er  0.000  0.000  0.600
Er  0.000  0.000  0.201
Hg  0.500  0.500  0.103
Hg  0.500  0.500  0.500


(20)
Computed, not measured: an optimized crystal structure of YErHg2 at the PBE level of DFT.

Calculated values
- Distance to the lowest polymorph of the same formula: 226 meV/atom
- Crystal system: orthorhombic
- Energy of formation from the pure elements: -103.1 kJ/mol of formula units
- E: -3.173 eV per atom

abc: 5.211 6.734 6.734
angles: 60.25 90.00 90.00
Fractional coordinates of all 8 atoms:
Hg  0.000  0.822  0.329
Hg  0.000  0.833  0.833
Hg  0.500  0.176  0.176
Y  0.500  0.167  0.690
Y  0.500  0.690  0.167
Er  0.500  0.675  0.675
Er  0.000  0.308  0.308
Hg  0.000  0.329  0.822


(21)
Computed, not measured: an optimized crystal structure of Y3Er2Hg3 at the PBE level of DFT.

Calculated values
- Distance to the lowest polymorph of the same formula: 0 meV/atom
- Crystal system: orthorhombic
- Energy of formation from the pure elements: -139.6 kJ/mol of formula units
- E: -3.858 eV per atom

abc: 5.570 6.465 6.465
angles: 69.86 90.00 90.00
Fractional coordinates of all 8 atoms:
Hg  0.500  0.171  0.171
Hg  0.000  0.371  0.786
Y  0.500  0.677  0.169
Hg  0.000  0.786  0.371
Y  0.000  0.858  0.858
Y  0.500  0.169  0.677
Er  0.500  0.668  0.668
Er  0.000  0.301  0.301


(22)
Computed, not measured: an optimized crystal structure of YEr6Hg at the PBE level of DFT.

Calculated values
- Crystal system: hexagonal
- Energy of formation from the pure elements: -23.1 kJ/mol of formula units
- E: -4.298 eV per atom

abc: 6.996 6.996 5.504
angles: 90.00 90.00 120.00
Site moments in Bohr magnetons follow the coordinates.
Fractional coordinates of all 8 atoms:
Er  0.671  0.835  0.500  0.11
Er  0.504  0.496  0.000  0.09
Er  0.165  0.329  0.500  0.13
Y  0.667  0.333  0.500  0.04
Er  0.993  0.496  0.000  0.09
Hg  0.000  0.000  0.000  0.01
Er  0.165  0.835  0.500  0.16
Er  0.504  0.007  0.000  0.09


(23)
Computed, not measured: an optimized crystal structure of ErZnHg at the PBE level of DFT.

Calculated values
- Crystal system: cubic
- Energy of formation from the pure elements: -63.7 kJ/mol of formula units
- E: -2.262 eV per atom

abc: 4.635 4.635 4.635
angles: 60.00 60.00 60.00
Fractional coordinates of all 3 atoms:
Zn  0.000  0.000  0.000
Hg  0.750  0.750  0.750
Er  0.250  0.250  0.250


(24)
Computed, not measured: an optimized crystal structure of Er5Zn4Hg at the PBE level of DFT.

Calculated values
- Crystal system: tetragonal
- Energy of formation from the pure elements: -365.7 kJ/mol of formula units
- E: -3.196 eV per atom

abc: 3.548 3.548 17.944
angles: 90.00 90.00 90.00
Fractional coordinates of all 10 atoms:
Zn  0.000  0.000  0.792
Er  0.500  0.500  0.500
Zn  0.000  0.000  0.208
Er  0.500  0.500  0.890
Hg  0.000  0.000  0.000
Er  0.500  0.500  0.305
Zn  0.000  0.000  0.598
Er  0.500  0.500  0.695
Zn  0.000  0.000  0.402
Er  0.500  0.500  0.110